The following is a DFT calculation (GGA-PBE) of crystalline RbLiNbV2 at its relaxed geometry.

Cell: 4.9515 4.4801 4.9515 Å, 90.00 90.00 90.00°
With the nearest neighbours (Å) after each atom.
Fractional coordinates of all 5 atoms:
V1 0.0000 0.0000 0.5000  2 Li 2.48
V2 0.5000 0.0000 0.0000  2 Li 2.48
Rb1 0.0000 0.5000 0.0000  2 Li 2.24
Nb1 0.5000 0.5000 0.5000  8 V 3.34, 4 Rb 3.50
Li1 0.0000 0.0000 0.0000  2 Rb 2.24, 4 V 2.48

Results
Formation energy ... 1.925 eV per atom
Total energy ... -4.313 eV per atom
Space-group type ... P4/mmm (123)


The following is a DFT calculation (GGA-PBE) of crystalline Rb2LiNbW at its relaxed geometry.

Cell: 5.8637 5.1175 5.8637 Å, 90.00 90.00 90.00°
With the nearest neighbours (Å) after each atom.
Fractional coordinates of all 5 atoms:
Li1 0.0000 0.5000 0.0000  2 Nb 2.56
W1 0.5000 0.5000 0.5000  8 Rb 3.89, 4 Li 4.15
Rb1 0.0000 0.0000 0.5000  2 Nb 2.93
Rb2 0.5000 0.0000 0.0000  2 Nb 2.93
Nb1 0.0000 0.0000 0.0000  2 Li 2.56

Results
Formation energy ... 3.051 eV per atom
Total energy ... -2.324 eV per atom
Space-group type ... P4/mmm (123)


The following is a DFT calculation (GGA-PBE) of crystalline RbLiYNb2 at its relaxed geometry.

Cell: 5.1438 6.1566 5.1438 Å, 90.00 90.00 90.00°
With the nearest neighbours (Å) after each atom.
Fractional coordinates of all 5 atoms:
Y1 0.0000 0.0000 0.0000  4 Nb 2.57
Li1 0.0000 0.5000 0.0000  2 Y 3.08
Rb1 0.5000 0.5000 0.5000  4 Li 3.64, 8 Nb 4.01
Nb1 0.0000 0.0000 0.5000  2 Y 2.57
Nb2 0.5000 0.0000 0.0000  2 Y 2.57

Results
Formation energy ... 1.644 eV per atom
Total energy ... -4.253 eV per atom
Space-group type ... P4/mmm (123)


The following is a DFT calculation (GGA-PBE) of crystalline Li3NbRe at its relaxed geometry.

Cell: 4.3797 4.3797 4.3797 Å, 90.00 90.00 90.00°
With the nearest neighbours (Å) after each atom.
Fractional coordinates of all 5 atoms:
Li1 0.0000 0.0000 0.5000  2 Re 2.19
Li2 0.5000 0.0000 0.0000  2 Re 2.19
Nb1 0.5000 0.5000 0.5000  12 Li 3.10
Li3 0.0000 0.5000 0.0000  2 Re 2.19
Re1 0.0000 0.0000 0.0000  6 Li 2.19

Results
Formation energy ... 1.742 eV per atom
Total energy ... -3.910 eV per atom
Energy above the most stable polymorph in this dataset ... 0 meV per atom
Space-group type ... Pm-3m (221)


The following is a DFT calculation (GGA-PBE) of crystalline LiNb3Re at its relaxed geometry.

Cell: 4.3645 4.3645 4.3645 Å, 90.00 90.00 90.00°
With the nearest neighbours (Å) after each atom.
Fractional coordinates of all 5 atoms:
Nb1 0.0000 0.5000 0.0000  2 Li 2.18
Nb2 0.5000 0.0000 0.0000  2 Li 2.18
Li1 0.0000 0.0000 0.0000  6 Nb 2.18
Re1 0.5000 0.5000 0.5000  12 Nb 3.09
Nb3 0.0000 0.0000 0.5000  2 Li 2.18

Results
Formation energy ... 1.200 eV per atom
Total energy ... -7.714 eV per atom
Energy above the most stable polymorph in this dataset ... 114 meV per atom
Space-group type ... Pm-3m (221)


The following is a DFT calculation (GGA-PBE) of crystalline LiNb2Re at its relaxed geometry.

Cell: 7.1015 7.1015 5.7288 Å, 51.70 51.70 90.00°
With the nearest neighbours (Å) after each atom.
Fractional coordinates of all 8 atoms:
Re1 0.7500 0.2500 0.5000  4 Nb 2.56, 2 Li 2.76
Li1 0.2500 0.7500 0.5000  4 Nb 2.65, 2 Re 2.76
Nb1 0.8750 0.8843 0.7500  2 Re 2.56, 2 Li 2.65, 2 Nb 2.76
Nb2 0.1157 0.6250 0.2500  2 Re 2.56, 2 Li 2.65, 2 Nb 2.76
Nb3 0.6343 0.1250 0.2500  2 Re 2.56, 2 Li 2.65, 2 Nb 2.76
Re2 0.0000 0.0000 0.0000  4 Nb 2.56, 2 Li 2.76
Li2 0.5000 0.5000 0.0000  4 Nb 2.65, 2 Re 2.76
Nb4 0.3750 0.3657 0.7500  2 Re 2.56, 2 Li 2.65, 2 Nb 2.76

Results
Formation energy ... 0.640 eV per atom
Total energy ... -7.985 eV per atom
Space-group type ... I-42d (122)


The following is a DFT calculation (GGA-PBE) of crystalline LiNbRe2 at its relaxed geometry.

Cell: 6.9633 6.9633 5.5542 Å, 51.18 51.18 90.00°
With the nearest neighbours (Å) after each atom.
Fractional coordinates of all 8 atoms:
Re1 0.8750 0.8485 0.7500  2 Li 2.42, 2 Re 2.60, 2 Nb 2.67
Re2 0.5985 0.1250 0.2500  2 Li 2.42, 2 Re 2.60, 2 Nb 2.67
Nb1 0.0000 0.0000 0.0000  2 Li 2.57, 4 Re 2.67
Re3 0.3750 0.4015 0.7500  2 Li 2.42, 2 Re 2.60, 2 Nb 2.67
Nb2 0.7500 0.2500 0.5000  2 Li 2.57, 4 Re 2.67
Li1 0.2500 0.7500 0.5000  4 Re 2.42, 2 Nb 2.57
Li2 0.5000 0.5000 0.0000  4 Re 2.42, 2 Nb 2.57
Re4 0.1515 0.6250 0.2500  2 Li 2.42, 2 Re 2.60, 2 Nb 2.67

Results
Formation energy ... 0.876 eV per atom
Total energy ... -8.344 eV per atom
Energy above the most stable polymorph in this dataset ... 543 meV per atom
Space-group type ... I-42d (122)


The following is a DFT calculation (GGA-PBE) of crystalline LiNb3Re at its relaxed geometry.

Cell: 4.8988 4.8988 4.8988 Å, 90.00 90.00 90.00°
With the nearest neighbours (Å) after each atom.
Fractional coordinates of all 5 atoms:
Li1 0.5000 0.5000 0.5000  12 Nb 3.46
Nb1 0.0000 0.5000 0.0000  2 Re 2.45
Nb2 0.0000 0.0000 0.5000  2 Re 2.45
Re1 0.0000 0.0000 0.0000  6 Nb 2.45
Nb3 0.5000 0.0000 0.0000  2 Re 2.45

Results
Formation energy ... 1.086 eV per atom
Total energy ... -7.828 eV per atom
Energy above the most stable polymorph in this dataset ... 0 meV per atom
Space-group type ... Pm-3m (221)


The following is a DFT calculation (GGA-PBE) of crystalline LiNbRe2 at its relaxed geometry.

Cell: 4.4002 4.4002 4.4002 Å, 60.00 60.00 60.00°
With the nearest neighbours (Å) after each atom.
Fractional coordinates of all 4 atoms:
Re1 0.2500 0.2500 0.2500  4 Nb 2.69, 4 Li 2.69
Nb1 0.5000 0.5000 0.5000  8 Re 2.69
Li1 0.0000 0.0000 0.0000  8 Re 2.69
Re2 0.7500 0.7500 0.7500  4 Li 2.69, 4 Nb 2.69

Results
Formation energy ... 0.333 eV per atom
Total energy ... -8.887 eV per atom
Energy above the most stable polymorph in this dataset ... 0 meV per atom
Space-group type ... Fm-3m (225)


The following is a DFT calculation (GGA-PBE) of crystalline LiNb2ReRh at its relaxed geometry.

Cell: 4.7715 4.4570 4.7715 Å, 90.00 90.00 90.00°
With the nearest neighbours (Å) after each atom.
Fractional coordinates of all 5 atoms:
Rh1 0.5000 0.5000 0.5000  8 Nb 3.26, 4 Li 3.37
Re1 0.0000 0.0000 0.0000  2 Li 2.23, 4 Nb 2.39
Nb1 0.5000 0.0000 0.0000  2 Re 2.39
Nb2 0.0000 0.0000 0.5000  2 Re 2.39
Li1 0.0000 0.5000 0.0000  2 Re 2.23

Results
Formation energy ... 1.237 eV per atom
Total energy ... -7.134 eV per atom
Space-group type ... P4/mmm (123)


The following is a DFT calculation (GGA-PBE) of crystalline LiScNbRe at its relaxed geometry.

Cell: 4.5583 4.5583 4.5583 Å, 60.00 60.00 60.00°
With the nearest neighbours (Å) after each atom.
Fractional coordinates of all 4 atoms:
Re1 0.2500 0.2500 0.2500  4 Nb 2.79, 4 Sc 2.79
Li1 0.7500 0.7500 0.7500  4 Sc 2.79, 4 Nb 2.79
Sc1 0.5000 0.5000 0.5000  4 Re 2.79, 4 Li 2.79
Nb1 0.0000 0.0000 0.0000  4 Re 2.79, 4 Li 2.79

Results
Formation energy ... -0.036 eV per atom
Total energy ... -7.727 eV per atom
Space-group type ... F-43m (216)


The following is a DFT calculation (GGA-PBE) of crystalline LiNbReSi at its relaxed geometry.

Cell: 4.3356 4.3356 4.3356 Å, 60.00 60.00 60.00°
With the nearest neighbours (Å) after each atom.
Fractional coordinates of all 4 atoms:
Li1 0.5000 0.5000 0.5000  4 Si 2.65, 4 Nb 2.65
Nb1 0.2500 0.2500 0.2500  4 Li 2.65, 4 Re 2.65
Si1 0.7500 0.7500 0.7500  4 Li 2.65, 4 Re 2.65
Re1 0.0000 0.0000 0.0000  4 Nb 2.65, 4 Si 2.65

Results
Total energy ... -7.681 eV per atom
Energy relative to the elements, uncorrected ... -0.22 eV per atom
Space-group type ... F-43m (216)


The following is a DFT calculation (GGA-PBE) of crystalline LiNbRe2Tc at its relaxed geometry.

Cell: 4.6601 4.1622 4.6601 Å, 90.00 90.00 90.00°
With the nearest neighbours (Å) after each atom.
Fractional coordinates of all 5 atoms:
Tc1 0.0000 0.0000 0.0000  2 Li 2.08, 4 Re 2.33
Nb1 0.5000 0.5000 0.5000  8 Re 3.12, 4 Li 3.30
Li1 0.0000 0.5000 0.0000  2 Tc 2.08
Re1 0.0000 0.0000 0.5000  2 Tc 2.33
Re2 0.5000 0.0000 0.0000  2 Tc 2.33

Results
Formation energy ... 1.492 eV per atom
Total energy ... -7.958 eV per atom
Space-group type ... P4/mmm (123)